# PBE NbGa2Cu2, optimized geometry
# **Fermi-level density of states**: 7.22 states/eV/cell
# **DFT formation energy**: -0.066 eV per atom
# **Space-group type**: P4/mbm (127)
data_NbGa2Cu2
_space_group_name_H-M_alt 'P 1'
_space_group_IT_number 1
_cell_length_a 7.244
_cell_length_b 7.244
_cell_length_c 2.778
_cell_angle_alpha 90.00
_cell_angle_beta 90.00
_cell_angle_gamma 90.00
loop_
_space_group_symop_operation_xyz
'x,y,z'
loop_
_atom_site_label
_atom_site_fract_x
_atom_site_fract_y
_atom_site_fract_z
Nb1 0.000 0.000 0.000
Nb2 0.500 0.500 0.000
Ga1 0.177 0.323 0.500
Ga2 0.323 0.823 0.500
Ga3 0.677 0.177 0.500
Ga4 0.823 0.677 0.500
Cu1 0.121 0.621 0.000
Cu2 0.379 0.121 0.000
Cu3 0.621 0.879 0.000
Cu4 0.879 0.379 0.000

---

# PBE NbGaCu, optimized geometry
# **Fermi-level density of states**: 6.13 states/eV/cell
# **DFT formation energy**: -0.117 eV per atom
# **Space-group type**: C2/m (12)
data_NbGaCu
_space_group_name_H-M_alt 'P 1'
_space_group_IT_number 1
_cell_length_a 9.990
_cell_length_b 2.742
_cell_length_c 7.059
_cell_angle_alpha 90.00
_cell_angle_beta 110.29
_cell_angle_gamma 90.00
loop_
_space_group_symop_operation_xyz
'x,y,z'
loop_
_atom_site_label
_atom_site_fract_x
_atom_site_fract_y
_atom_site_fract_z
Nb1 0.161 0.000 0.117
Nb2 0.339 0.500 0.883
Nb3 0.661 0.500 0.117
Nb4 0.839 0.000 0.883
Ga1 0.041 0.500 0.747
Ga2 0.459 0.000 0.253
Ga3 0.541 0.000 0.747
Ga4 0.959 0.500 0.253
Cu1 0.153 0.000 0.528
Cu2 0.347 0.500 0.472
Cu3 0.653 0.500 0.528
Cu4 0.847 0.000 0.472

---

# PBE Nb6GaCu, optimized geometry
# **Fermi-level density of states**: 12.20 states/eV/cell
# **DFT formation energy**: -0.056 eV per atom
# **Space-group type**: P-1 (2)
data_Nb6GaCu
_space_group_name_H-M_alt 'P 1'
_space_group_IT_number 1
_cell_length_a 5.159
_cell_length_b 5.174
_cell_length_c 5.179
_cell_angle_alpha 89.95
_cell_angle_beta 89.83
_cell_angle_gamma 89.94
loop_
_space_group_symop_operation_xyz
'x,y,z'
loop_
_atom_site_label
_atom_site_fract_x
_atom_site_fract_y
_atom_site_fract_z
Nb1 0.001 0.251 0.009
Nb2 0.253 0.500 0.501
Nb3 0.499 0.009 0.753
Nb4 0.501 0.991 0.247
Nb5 0.747 0.500 0.499
Nb6 0.999 0.749 0.991
Ga1 0.000 0.000 0.500
Cu1 0.500 0.500 0.000

---

# PBE NbGaCu, optimized geometry
# **Fermi-level density of states**: 4.42 states/eV/cell
# **DFT formation energy**: -0.224 eV per atom
# **Space-group type**: Amm2 (38)
data_NbGaCu
_space_group_name_H-M_alt 'P 1'
_space_group_IT_number 1
_cell_length_a 7.949
_cell_length_b 5.074
_cell_length_c 5.074
_cell_angle_alpha 59.88
_cell_angle_beta 90.00
_cell_angle_gamma 90.00
loop_
_space_group_symop_operation_xyz
'x,y,z'
loop_
_atom_site_label
_atom_site_fract_x
_atom_site_fract_y
_atom_site_fract_z
Nb1 0.181 0.000 0.000
Nb2 0.315 0.669 0.669
Nb3 0.685 0.669 0.669
Nb4 0.819 0.000 0.000
Ga1 0.000 0.505 0.505
Ga2 0.500 0.163 0.163
Ga3 0.500 0.165 0.676
Ga4 0.500 0.676 0.165
Cu1 0.000 0.504 0.992
Cu2 0.000 0.992 0.504
Cu3 0.249 0.333 0.333
Cu4 0.751 0.333 0.333

---

# PBE NbGaCu, optimized geometry
# **Fermi-level density of states**: 3.15 states/eV/cell
# **DFT formation energy**: -0.196 eV per atom
# **Space-group type**: P2_1/m (11)
data_NbGaCu
_space_group_name_H-M_alt 'P 1'
_space_group_IT_number 1
_cell_length_a 2.953
_cell_length_b 4.235
_cell_length_c 7.351
_cell_angle_alpha 90.00
_cell_angle_beta 93.45
_cell_angle_gamma 90.00
loop_
_space_group_symop_operation_xyz
'x,y,z'
loop_
_atom_site_label
_atom_site_fract_x
_atom_site_fract_y
_atom_site_fract_z
Nb1 0.188 0.250 0.112
Nb2 0.812 0.750 0.888
Ga1 0.294 0.250 0.742
Ga2 0.706 0.750 0.258
Cu1 0.259 0.750 0.549
Cu2 0.741 0.250 0.451

---

# PBE Nb2Ga2Cu, optimized geometry
# **Fermi-level density of states**: 5.19 states/eV/cell
# **DFT formation energy**: -0.135 eV per atom
# **Space-group type**: P4/mbm (127)
data_Nb2Ga2Cu
_space_group_name_H-M_alt 'P 1'
_space_group_IT_number 1
_cell_length_a 6.418
_cell_length_b 6.418
_cell_length_c 3.903
_cell_angle_alpha 90.00
_cell_angle_beta 90.00
_cell_angle_gamma 90.00
loop_
_space_group_symop_operation_xyz
'x,y,z'
loop_
_atom_site_label
_atom_site_fract_x
_atom_site_fract_y
_atom_site_fract_z
Nb1 0.173 0.327 0.000
Nb2 0.327 0.827 0.000
Nb3 0.673 0.173 0.000
Nb4 0.827 0.673 0.000
Ga1 0.134 0.634 0.500
Ga2 0.366 0.134 0.500
Ga3 0.634 0.866 0.500
Ga4 0.866 0.366 0.500
Cu1 0.000 0.000 0.500
Cu2 0.500 0.500 0.500

---

# PBE NbGa2Cu, optimized geometry
# **Fermi-level density of states**: 1.80 states/eV/cell
# **DFT formation energy**: 0.049 eV per atom
# **Space-group type**: I-42d (122)
data_NbGa2Cu
_space_group_name_H-M_alt 'P 1'
_space_group_IT_number 1
_cell_length_a 6.899
_cell_length_b 6.899
_cell_length_c 5.512
_cell_angle_alpha 90.00
_cell_angle_beta 90.00
_cell_angle_gamma 90.00
loop_
_space_group_symop_operation_xyz
'x,y,z'
loop_
_atom_site_label
_atom_site_fract_x
_atom_site_fract_y
_atom_site_fract_z
Nb1 0.000 0.000 0.000
Nb2 0.000 0.500 0.250
Nb3 0.500 0.000 0.750
Nb4 0.500 0.500 0.500
Ga1 0.215 0.250 0.625
Ga2 0.250 0.715 0.875
Ga3 0.250 0.785 0.375
Ga4 0.285 0.250 0.125
Ga5 0.715 0.750 0.125
Ga6 0.750 0.215 0.375
Ga7 0.750 0.285 0.875
Ga8 0.785 0.750 0.625
Cu1 0.000 0.000 0.500
Cu2 0.000 0.500 0.750
Cu3 0.500 0.000 0.250
Cu4 0.500 0.500 0.000

---

# PBE NbGaCu2Ni, optimized geometry
# **Fermi-level density of states**: 7.31 states/eV/cell
# **DFT formation energy**: 1.548 eV per atom
# **Space-group type**: P4/mmm (123)
data_NbGaCu2Ni
_space_group_name_H-M_alt 'P 1'
_space_group_IT_number 1
_cell_length_a 4.692
_cell_length_b 4.692
_cell_length_c 5.002
_cell_angle_alpha 90.00
_cell_angle_beta 90.00
_cell_angle_gamma 90.00
loop_
_space_group_symop_operation_xyz
'x,y,z'
loop_
_atom_site_label
_atom_site_fract_x
_atom_site_fract_y
_atom_site_fract_z
Nb1 0.000 0.000 0.000
Ga1 0.000 0.000 0.500
Cu1 0.000 0.500 0.000
Cu2 0.500 0.000 0.000
Ni1 0.500 0.500 0.500

---

# PBE NbGaCuTc, optimized geometry
# **Fermi-level density of states**: 8.97 states/eV/cell
# **DFT formation energy**: -0.056 eV per atom
# **Space-group type**: F-43m (216)
data_NbGaCuTc
_space_group_name_H-M_alt 'P 1'
_space_group_IT_number 1
_cell_length_a 6.223
_cell_length_b 6.223
_cell_length_c 6.223
_cell_angle_alpha 90.00
_cell_angle_beta 90.00
_cell_angle_gamma 90.00
loop_
_space_group_symop_operation_xyz
'x,y,z'
loop_
_atom_site_label
_atom_site_fract_x
_atom_site_fract_y
_atom_site_fract_z
Nb1 0.000 0.000 0.000
Nb2 0.000 0.500 0.500
Nb3 0.500 0.000 0.500
Nb4 0.500 0.500 0.000
Ga1 0.000 0.000 0.500
Ga2 0.000 0.500 0.000
Ga3 0.500 0.000 0.000
Ga4 0.500 0.500 0.500
Cu1 0.250 0.250 0.750
Cu2 0.250 0.750 0.250
Cu3 0.750 0.250 0.250
Cu4 0.750 0.750 0.750
Tc1 0.250 0.250 0.250
Tc2 0.250 0.750 0.750
Tc3 0.750 0.250 0.750
Tc4 0.750 0.750 0.250

---

# PBE NbGaCu2Te, optimized geometry
# **Fermi-level density of states**: 3.65 states/eV/cell
# **Raw formation energy**: 603 meV/atom
# **Space-group type**: P4/mmm (123)
data_NbGaCu2Te
_space_group_name_H-M_alt 'P 1'
_space_group_IT_number 1
_cell_length_a 4.454
_cell_length_b 4.454
_cell_length_c 5.016
_cell_angle_alpha 90.00
_cell_angle_beta 90.00
_cell_angle_gamma 90.00
loop_
_space_group_symop_operation_xyz
'x,y,z'
loop_
_atom_site_label
_atom_site_fract_x
_atom_site_fract_y
_atom_site_fract_z
Nb1 0.000 0.000 0.000
Ga1 0.000 0.000 0.500
Cu1 0.000 0.500 0.500
Cu2 0.500 0.000 0.500
Te1 0.500 0.500 0.000

---

# PBE NbGaCuW2, optimized geometry
# **Fermi-level density of states**: 4.51 states/eV/cell
# **DFT formation energy**: 1.768 eV per atom
# **Space-group type**: P4/mmm (123)
data_NbGaCuW2
_space_group_name_H-M_alt 'P 1'
_space_group_IT_number 1
_cell_length_a 4.581
_cell_length_b 4.581
_cell_length_c 4.686
_cell_angle_alpha 90.00
_cell_angle_beta 90.00
_cell_angle_gamma 90.00
loop_
_space_group_symop_operation_xyz
'x,y,z'
loop_
_atom_site_label
_atom_site_fract_x
_atom_site_fract_y
_atom_site_fract_z
Nb1 0.000 0.000 0.000
Ga1 0.000 0.000 0.500
Cu1 0.500 0.500 0.000
W1 0.000 0.500 0.500
W2 0.500 0.000 0.500

---

# PBE NdGa7Cu12, optimized geometry
# **Fermi-level density of states**: 6.51 states/eV/cell
# **DFT formation energy**: -0.063 eV per atom
# **Space-group type**: R-3m (166)
data_NdGa7Cu12
_space_group_name_H-M_alt 'P 1'
_space_group_IT_number 1
_cell_length_a 7.599
_cell_length_b 7.599
_cell_length_c 7.599
_cell_angle_alpha 112.33
_cell_angle_beta 112.33
_cell_angle_gamma 112.33
loop_
_space_group_symop_operation_xyz
'x,y,z'
loop_
_atom_site_label
_atom_site_fract_x
_atom_site_fract_y
_atom_site_fract_z
Nd1 0.000 0.000 0.000
Ga1 0.193 0.193 0.540
Ga2 0.193 0.540 0.193
Ga3 0.460 0.807 0.807
Ga4 0.500 0.500 0.500
Ga5 0.540 0.193 0.193
Ga6 0.807 0.460 0.807
Ga7 0.807 0.807 0.460
Cu1 0.000 0.272 0.728
Cu2 0.000 0.728 0.272
Cu3 0.055 0.396 0.396
Cu4 0.272 0.000 0.728
Cu5 0.272 0.728 0.000
Cu6 0.396 0.055 0.396
Cu7 0.396 0.396 0.055
Cu8 0.604 0.604 0.945
Cu9 0.604 0.945 0.604
Cu10 0.728 0.000 0.272
Cu11 0.728 0.272 0.000
Cu12 0.945 0.604 0.604

---

> Fermi-level density of states of number 1 (NbGa2Cu2)?

7.22 states/eV/cell

---

> Number 8 is which compound?

NbGaCu2Ni

---

> The highest Fermi-level density of states belongs to which entry?

Nb6GaCu

---

> Look up the Fermi-level density of states of the seventh one.

1.80 states/eV/cell